Entry 1:
6
Lattice="0.000 4.727 4.727 4.727 0.000 4.727 4.727 4.727 0.000" Properties=species:S:1:pos:R:3 comment="TlBi2 PBE-GGA relaxed" de_polymorph_mev_per_atom=83 crystal_system=cubic density_g_cm3=9.783 formation_energy_ev_per_atom=0.06 pbc="T T T"
Tl 1.182 1.182 1.182
Tl 8.273 8.273 8.273
Bi 4.727 2.364 2.364
Bi 2.364 4.727 2.364
Bi 2.364 2.364 4.727
Bi 4.727 4.727 4.727

Entry 2:
3
Lattice="5.741 0.000 0.000 -2.870 4.972 0.000 0.000 0.000 3.406" Properties=species:S:1:pos:R:3 comment="TlBi2 PBE-GGA relaxed" de_polymorph_mev_per_atom=0 crystal_system=hexagonal density_g_cm3=10.632 formation_energy_ev_per_atom=-0.02 pbc="T T T"
Tl 0.000 0.000 0.000
Bi 0.000 3.314 1.703
Bi 2.870 1.657 1.703

Entry 3:
10
Lattice="4.338 2.504 5.524 -4.338 2.504 5.524 0.000 -5.009 5.524" Properties=species:S:1:pos:R:3 comment="Tl3Bi2 PBE-GGA relaxed" de_polymorph_mev_per_atom=41 crystal_system=trigonal density_g_cm3=9.511 formation_energy_ev_per_atom=0.02 pbc="T T T"
Tl -3.218 -0.565 6.905
Tl -1.120 -3.070 9.667
Tl 2.099 -2.504 6.905
Tl -2.099 2.504 9.667
Tl 1.120 3.070 6.905
Tl 3.218 0.565 9.667
Bi 0.000 0.000 1.564
Bi 0.000 0.000 6.722
Bi 0.000 0.000 9.850
Bi 0.000 0.000 15.007

Entry 4:
7
Lattice="5.445 0.000 0.000 0.000 5.445 0.000 0.000 0.000 7.990" Properties=species:S:1:pos:R:3 comment="Tl6Bi PBE-GGA relaxed" de_polymorph_mev_per_atom=55 crystal_system=tetragonal density_g_cm3=10.059 formation_energy_ev_per_atom=0.05 pbc="T T T"
Tl 0.000 0.000 0.000
Tl 0.000 2.723 1.900
Tl 0.000 2.723 6.090
Tl 2.723 0.000 1.900
Tl 2.723 0.000 6.090
Tl 2.723 2.723 3.995
Bi 0.000 0.000 3.995

Entry 5:
8
Lattice="-6.241 6.241 1.711 6.241 -6.241 1.711 6.241 6.241 -1.711" Properties=species:S:1:pos:R:3 comment="TlBi PBE-GGA relaxed" crystal_system=tetragonal density_g_cm3=10.297 formation_energy_ev_per_atom=0.04 pbc="T T T"
Tl 4.549 1.347 0.000
Tl 4.894 -1.692 1.711
Tl 1.347 7.933 0.000
Tl 1.692 4.894 1.711
Bi 10.615 1.251 0.000
Bi 1.251 1.867 0.000
Bi 4.990 4.374 1.711
Bi -4.374 4.990 1.711

Entry 6:
11
Lattice="5.488 -2.535 0.000 5.488 2.535 0.000 -3.911 0.000 12.520" Properties=species:S:1:pos:R:3 comment="Tl8Bi3 PBE-GGA relaxed" de_polymorph_mev_per_atom=0 crystal_system=monoclinic density_g_cm3=10.784 formation_energy_ev_per_atom=-0.02 pbc="T T T"
Tl -0.719 0.000 3.991
Tl -2.253 0.000 11.916
Tl 0.180 0.000 7.391
Tl 2.615 0.000 2.873
Tl 4.450 0.000 9.647
Tl 6.884 0.000 5.129
Tl 9.317 0.000 0.604
Tl 7.784 0.000 8.530
Bi 1.111 0.000 10.883
Bi 3.532 0.000 6.260
Bi 5.953 0.000 1.637